(1)
Material: AcYCd2
Method: DFT, PBE
State: relaxed

a = 5.559 Å, b = 5.559 Å, c = 5.559 Å
α = 60.00°, β = 60.00°, γ = 60.00°
Element x y z (fractional)
Y 0.000 0.000 0.000
Cd 0.250 0.250 0.250
Cd 0.750 0.750 0.750
Ac 0.500 0.500 0.500

Computed properties:
- ΔH_f (0 K) (eV/f.u.) = -1.10
- DOS(E_F) (states/eV per atom) = 1.18
- volume (Å³/f.u.) = 121.50
- E (eV/cell) = -13.51
- symmetry = Fm-3m, No. 225

***

(2)
Material: Ac4YCd
Method: DFT, PBE
State: relaxed

a = 3.967 Å, b = 3.967 Å, c = 14.907 Å
α = 90.00°, β = 90.00°, γ = 90.00°
Element x y z (fractional)
Ac 0.000 0.000 0.643
Ac 0.500 0.500 0.168
Ac 0.500 0.500 0.832
Ac 0.000 0.000 0.357
Cd 0.500 0.500 0.500
Y 0.000 0.000 0.000

Computed properties:
- ΔH_f (0 K) (eV/f.u.) = -0.44
- DOS(E_F) (states/eV per atom) = 1.43
- volume (Å³/f.u.) = 234.59
- E (eV/cell) = -24.25
- symmetry = P4/mmm, No. 123

***

(3)
Material: AcY5Cd4
Method: DFT, PBE
State: relaxed

a = 3.759 Å, b = 3.759 Å, c = 20.334 Å
α = 90.00°, β = 90.00°, γ = 90.00°
Element x y z (fractional)
Y 0.500 0.500 0.684
Y 0.500 0.500 0.500
Y 0.500 0.500 0.868
Y 0.500 0.500 0.132
Y 0.500 0.500 0.316
Ac 0.000 0.000 0.000
Cd 0.000 0.000 0.223
Cd 0.000 0.000 0.593
Cd 0.000 0.000 0.777
Cd 0.000 0.000 0.407

Computed properties:
- ΔH_f (0 K) (eV/f.u.) = -2.69
- DOS(E_F) (states/eV per atom) = 1.25
- volume (Å³/f.u.) = 287.36
- E (eV/cell) = -42.78
- symmetry = P4/mmm, No. 123

***

(4)
Material: AcY4Cd
Method: DFT, PBE
State: relaxed

a = 3.708 Å, b = 3.708 Å, c = 14.129 Å
α = 90.00°, β = 90.00°, γ = 90.00°
Element x y z (fractional)
Y 0.000 0.000 0.362
Y 0.500 0.500 0.188
Y 0.500 0.500 0.812
Y 0.000 0.000 0.638
Ac 0.000 0.000 0.000
Cd 0.500 0.500 0.500

Computed properties:
- ΔH_f (0 K) (eV/f.u.) = -0.48
- DOS(E_F) (states/eV per atom) = 1.46
- volume (Å³/f.u.) = 194.29
- E (eV/cell) = -31.36
- symmetry = P4/mmm, No. 123

***

Question: Which formula does entry 1 have?
Answer: AcYCd2

***

Question: Which formula does entry 1 have?
Answer: AcYCd2

***

Question: Which value of DOS(E_F) does entry 1 give?
Answer: 1.18 states/eV per atom